Entry from Alexandria via LeMat-Bulk: an optimized crystal structure of YTaMo2 (PBE).

Cell: 3.3099 3.3099 7.0574 Å, 90.00 90.00 90.00°
With the nearest neighbours (Å) after each atom.
Fractional positions:
Y 0.0000 0.0000 0.0000  8 Mo 3.11, 4 Y 3.31
Ta 0.0000 0.0000 0.5000  8 Mo 2.77
Mo 0.5000 0.5000 0.2896  4 Ta 2.77, 1 Mo 2.97
Mo 0.5000 0.5000 0.7104  4 Ta 2.77, 1 Mo 2.97

Properties
DFT formation energy: 0.222 eV per atom
Space-group type: P4/mmm
Spin magnetization: 0.000 μB/atom
Volume: 77.3 Å³/f.u.

Entry from Alexandria via LeMat-Bulk: an optimized crystal structure of Tl3TcP (PBE).

Cell: 5.3445 5.3445 5.3445 Å, 90.00 90.00 90.00°
With the nearest neighbours (Å) after each atom.
Fractional positions:
Tl 0.0000 0.0000 0.5000  2 Tc 2.67
Tl 0.0000 0.5000 0.0000  2 Tc 2.67
Tl 0.5000 0.0000 0.0000  2 Tc 2.67
Tc 0.0000 0.0000 0.0000  6 Tl 2.67
P 0.5000 0.5000 0.5000  12 Tl 3.78

Properties
DFT formation energy: 0.888 eV per atom
Space-group type: Pm-3m
Spin magnetization: 0.630 μB/atom
Volume: 152.7 Å³/f.u.

Entry from Alexandria via LeMat-Bulk: an optimized crystal structure of Li2MgAlCo (PBE).

Cell: 4.4844 4.4844 4.5781 Å, 90.00 90.00 90.00°
With the nearest neighbours (Å) after each atom.
Fractional positions:
Li 0.0000 0.5000 0.0000  2 Mg 2.24
Li 0.5000 0.0000 0.0000  2 Mg 2.24
Mg 0.0000 0.0000 0.0000  4 Li 2.24, 2 Co 2.29
Al 0.5000 0.5000 0.5000  4 Co 3.17, 8 Li 3.20
Co 0.0000 0.0000 0.5000  2 Mg 2.29

Properties
DFT formation energy: 0.787 eV per atom
Space-group type: P4/mmm
Spin magnetization: 0.222 μB/atom
Volume: 92.1 Å³/f.u.

Entry from Alexandria via LeMat-Bulk: an optimized crystal structure of NiIrI2 (PBE).

Cell: 5.9343 5.9343 11.6182 Å, 90.00 90.00 90.00°
With the nearest neighbours (Å) after each atom.
Fractional positions:
Ni 0.0000 0.0000 0.0000  4 I 2.51
Ni 0.0000 0.5000 0.2500  4 I 2.51
Ni 0.5000 0.0000 0.7500  4 I 2.51
Ni 0.5000 0.5000 0.5000  4 I 2.51
Ir 0.0000 0.0000 0.5000  4 I 2.60
Ir 0.0000 0.5000 0.7500  4 I 2.60
Ir 0.5000 0.0000 0.2500  4 I 2.60
Ir 0.5000 0.5000 0.0000  4 I 2.60
I 0.2363 0.2500 0.1250  2 Ni 2.51, 2 Ir 2.60
I 0.2500 0.7363 0.3750  2 Ni 2.51, 2 Ir 2.60
I 0.2500 0.7637 0.8750  2 Ni 2.51, 2 Ir 2.60
I 0.2637 0.2500 0.6250  2 Ni 2.51, 2 Ir 2.60
I 0.7363 0.7500 0.6250  2 Ni 2.51, 2 Ir 2.60
I 0.7500 0.2363 0.8750  2 Ni 2.51, 2 Ir 2.60
I 0.7500 0.2637 0.3750  2 Ni 2.51, 2 Ir 2.60
I 0.7637 0.7500 0.1250  2 Ni 2.51, 2 Ir 2.60

Properties
Space-group type: I-42d
Spin magnetization: 0.000 μB/atom
ΔE_f (raw): 55.6 kJ/mol of atoms
Volume: 102.3 Å³/f.u.

Entry from Alexandria via LeMat-Bulk: an optimized crystal structure of NbAgSe3 (PBE).

Cell: 7.1144 7.1144 10.5349 Å, 111.86 111.86 33.53°
With the nearest neighbours (Å) after each atom.
Fractional positions:
Nb 0.1520 0.1520 0.3216  4 Se 2.41-2.54
Nb 0.8480 0.8480 0.6784  4 Se 2.41-2.54
Ag 0.3858 0.3858 0.9290  4 Se 2.75-3.00, 1 Ag 2.88
Ag 0.6142 0.6142 0.0710  4 Se 2.75-3.00, 1 Ag 2.88
Se 0.0292 0.0292 0.8468  1 Nb 2.42
Se 0.2568 0.2568 0.1824  1 Nb 2.41
Se 0.3664 0.3664 0.5476  2 Nb 2.54
Se 0.6336 0.6336 0.4524  2 Nb 2.54
Se 0.7432 0.7432 0.8176  1 Nb 2.41
Se 0.9708 0.9708 0.1532  1 Nb 2.42

Properties
Space-group type: C2/m
Spin magnetization: 0.000 μB/atom
ΔE_f (raw): -34.9 kJ/mol of atoms
Volume: 135.7 Å³/f.u.

Entry from Alexandria via LeMat-Bulk: an optimized crystal structure of SiRu2Rh (PBE).

Cell: 3.8393 3.8393 7.3710 Å, 90.00 90.00 90.00°
With the nearest neighbours (Å) after each atom.
Fractional positions:
Si 0.0000 0.0000 0.0000  8 Ru 2.66, 4 Rh 2.71
Si 0.5000 0.5000 0.5000  8 Ru 2.66, 4 Rh 2.71
Ru 0.0000 0.5000 0.2500  4 Rh 2.66, 4 Si 2.66, 4 Ru 2.71
Ru 0.0000 0.5000 0.7500  4 Rh 2.66, 4 Si 2.66, 4 Ru 2.71
Ru 0.5000 0.0000 0.2500  4 Rh 2.66, 4 Si 2.66, 4 Ru 2.71
Ru 0.5000 0.0000 0.7500  4 Rh 2.66, 4 Si 2.66, 4 Ru 2.71
Rh 0.0000 0.0000 0.5000  8 Ru 2.66, 4 Si 2.71
Rh 0.5000 0.5000 0.0000  8 Ru 2.66, 4 Si 2.71

Properties
Space-group type: I4/mmm
Spin magnetization: 0.000 μB/atom
ΔE_f (raw): -18.2 kJ/mol of atoms
Volume: 54.3 Å³/f.u.

Entry from Alexandria via LeMat-Bulk: an optimized crystal structure of DyBePd (PBE).

Cell: 4.0550 4.0550 3.8632 Å, 90.00 90.00 120.00°
With the nearest neighbours (Å) after each atom.
Fractional positions:
Dy 0.0000 0.0000 0.0000  6 Be 3.04, 6 Pd 3.04
Be 0.3333 0.6667 0.5000  3 Pd 2.34
Pd 0.6667 0.3333 0.5000  3 Be 2.34

Properties
DFT formation energy: -0.541 eV per atom
Space-group type: P-6m2
Spin magnetization: 0.000 μB/atom
Volume: 55.0 Å³/f.u.

Entry from Alexandria via LeMat-Bulk: an optimized crystal structure of Ho2SnCl (PBE).

Cell: 3.4680 3.4680 31.5078 Å, 90.00 90.00 120.00°
With the nearest neighbours (Å) after each atom.
Fractional positions:
Ho 0.0000 0.0000 0.0969  3 Cl 2.97, 1 Sn 3.05
Ho 0.0000 0.0000 0.9031  3 Cl 2.97, 1 Sn 3.05
Ho 0.3333 0.6667 0.5697  3 Cl 2.97, 1 Sn 3.05
Ho 0.3333 0.6667 0.7636  3 Cl 2.97, 1 Sn 3.05
Ho 0.6667 0.3333 0.2364  3 Cl 2.97, 1 Sn 3.05
Ho 0.6667 0.3333 0.4303  3 Cl 2.97, 1 Sn 3.05
Sn 0.0000 0.0000 0.0000  2 Ho 3.05
Sn 0.3333 0.6667 0.6667  2 Ho 3.05
Sn 0.6667 0.3333 0.3333  2 Ho 3.05
Cl 0.0000 0.0000 0.5000  6 Ho 2.97
Cl 0.3333 0.6667 0.1667  6 Ho 2.97
Cl 0.6667 0.3333 0.8333  6 Ho 2.97

Properties
Space-group type: R-3m
Spin magnetization: 0.000 μB/atom
ΔE_f (raw): -54.5 kJ/mol of atoms
Volume: 109.4 Å³/f.u.

Entry from Alexandria via LeMat-Bulk: an optimized crystal structure of ReSbTe2Rh (PBE).

Cell: 5.1913 5.1913 4.9960 Å, 90.00 90.00 90.00°
With the nearest neighbours (Å) after each atom.
Fractional positions:
Re 0.0000 0.0000 0.0000  8 Te 3.60, 4 Sb 3.67
Sb 0.5000 0.5000 0.0000  2 Rh 2.50
Te 0.0000 0.5000 0.5000  2 Rh 2.60
Te 0.5000 0.0000 0.5000  2 Rh 2.60
Rh 0.5000 0.5000 0.5000  2 Sb 2.50, 4 Te 2.60

Properties
Space-group type: P4/mmm
Spin magnetization: 0.571 μB/atom
ΔE_f (raw): 120.2 kJ/mol of atoms
Volume: 134.6 Å³/f.u.

Entry from Alexandria via LeMat-Bulk: an optimized crystal structure of Ac2As2BrO6 (PBE).

Cell: 5.7071 7.1094 7.2304 Å, 66.95 68.19 75.85°
With the nearest neighbours (Å) after each atom.
Fractional positions:
Ac 0.2055 0.2407 0.4158  6 O 2.44-2.72
Ac 0.7945 0.7593 0.5842  6 O 2.44-2.72
As 0.3665 0.8401 0.2186  3 O 1.77-1.78
As 0.6335 0.1599 0.7814  3 O 1.77-1.78
Br 0.0000 0.5000 0.0000  2 Ac 3.32, 2 O 3.33
O 0.0809 0.0030 0.2820  1 As 1.77
O 0.2372 0.6027 0.3789  1 As 1.78
O 0.4824 0.1035 0.6383  1 As 1.77
O 0.5176 0.8965 0.3617  1 As 1.77
O 0.7628 0.3973 0.6211  1 As 1.78
O 0.9191 0.9970 0.7180  1 As 1.77

Properties
Space-group type: P-1
Spin magnetization: 0.068 μB/atom
ΔE_f (raw): -206.7 kJ/mol of atoms
Volume: 248.9 Å³/f.u.

Entry from Alexandria via LeMat-Bulk: an optimized crystal structure of SrNi4Se (PBE).

Cell: 5.0818 5.0818 5.0818 Å, 60.00 60.00 60.00°
With the nearest neighbours (Å) after each atom.
Fractional positions:
Sr 0.0000 0.0000 0.0000  12 Ni 2.98, 4 Se 3.11
Ni 0.1257 0.6248 0.6248  6 Ni 2.54-2.55
Ni 0.6248 0.1257 0.6248  6 Ni 2.54-2.55
Ni 0.6248 0.6248 0.1257  6 Ni 2.54-2.55
Ni 0.6248 0.6248 0.6248  6 Ni 2.54-2.55
Se 0.2500 0.2500 0.2500  12 Ni 2.98, 4 Sr 3.11

Properties
Space-group type: F-43m
Spin magnetization: 0.358 μB/atom
ΔE_f (raw): 7.1 kJ/mol of atoms
Volume: 92.8 Å³/f.u.

Entry from Alexandria via LeMat-Bulk: an optimized crystal structure of TbEr3Zr (PBE).

Cell: 5.9636 6.9607 7.6202 Å, 76.80 75.74 73.26°
With the nearest neighbours (Å) after each atom.
Fractional positions:
Tb 0.0941 0.1635 0.2895  9 Er 3.36-3.60, 2 Zr 3.37-3.38, 1 Tb 3.62
Tb 0.9059 0.8365 0.7105  9 Er 3.36-3.60, 2 Zr 3.37-3.38, 1 Tb 3.62
Er 0.1009 0.6454 0.2847  3 Zr 3.29-3.44, 6 Er 3.35-3.57, 3 Tb 3.36-3.60
Er 0.3091 0.9400 0.9010  3 Zr 3.33-3.60, 6 Er 3.35-3.55, 3 Tb 3.41-3.45
Er 0.4978 0.7397 0.4978  7 Er 3.32-3.64, 2 Zr 3.38-3.42, 3 Tb 3.44-3.56
Er 0.5022 0.2603 0.5022  7 Er 3.32-3.64, 2 Zr 3.38-3.42, 3 Tb 3.44-3.56
Er 0.6909 0.0600 0.0990  3 Zr 3.33-3.60, 6 Er 3.35-3.55, 3 Tb 3.41-3.45
Er 0.8991 0.3546 0.7153  3 Zr 3.29-3.44, 6 Er 3.35-3.57, 3 Tb 3.36-3.60
Zr 0.3137 0.4555 0.9021  2 Zr 3.23-3.60, 8 Er 3.29-3.60, 2 Tb 3.37-3.38
Zr 0.6863 0.5445 0.0979  2 Zr 3.23-3.60, 8 Er 3.29-3.60, 2 Tb 3.37-3.38

Properties
DFT formation energy: 0.063 eV per atom
Space-group type: P-1
Spin magnetization: 0.000 μB/atom
Volume: 144.7 Å³/f.u.

Q: Number 1 is which compound?
A: YTaMo2

Repeat the third record exactly.
Entry from Alexandria via LeMat-Bulk: an optimized crystal structure of Li2MgAlCo (PBE).

Cell: 4.4844 4.4844 4.5781 Å, 90.00 90.00 90.00°
With the nearest neighbours (Å) after each atom.
Fractional positions:
Li 0.0000 0.5000 0.0000  2 Mg 2.24
Li 0.5000 0.0000 0.0000  2 Mg 2.24
Mg 0.0000 0.0000 0.0000  4 Li 2.24, 2 Co 2.29
Al 0.5000 0.5000 0.5000  4 Co 3.17, 8 Li 3.20
Co 0.0000 0.0000 0.5000  2 Mg 2.29

Properties
DFT formation energy: 0.787 eV per atom
Space-group type: P4/mmm
Spin magnetization: 0.222 μB/atom
Volume: 92.1 Å³/f.u.